Entry from the Alexandria database: a relaxed structure of LiGa5Rh (PBE).

Geometry as extended XYZ:
```
7
Lattice="4.717 0.000 0.000 0.000 7.061 0.000 -2.359 -3.530 4.668" Properties=species:S:1:pos:R:3 pbc="T T T"
Li 3.308 3.530 0.000
Ga -0.481 0.000 2.352
Ga 0.855 3.530 0.000
Ga 1.877 3.530 2.316
Ga 2.123 1.228 0.000
Ga 2.123 5.832 0.000
Rh 4.492 0.000 0.000
```

energy relative to the lowest polymorph listed for this composition	0.440	eV per atom
formation enthalpy at 0 K	0.089	eV per atom
theoretical density	4.90	g/cm³

***

Entry from the Alexandria database: a relaxed structure of Li23Ga6Rh (PBE).

Geometry as extended XYZ:
```
30
Lattice="7.722 0.000 4.458 2.574 7.280 4.458 0.000 0.000 8.916" Properties=species:S:1:pos:R:3 pbc="T T T"
Li 5.125 0.918 4.458
Li 5.171 6.362 13.374
Li 1.298 0.918 6.667
Li 1.298 0.918 2.249
Li 8.997 6.362 11.165
Li 8.997 6.362 15.584
Li 2.574 4.526 4.458
Li 7.722 2.754 13.374
Li 5.148 3.640 4.458
Li 0.000 0.000 4.458
Li 3.861 0.000 2.229
Li 1.287 3.640 6.687
Li 3.861 0.000 6.687
Li 1.287 3.640 2.229
Li 7.593 2.776 8.916
Li 2.703 4.504 8.916
Li 3.925 2.776 11.034
Li 3.925 2.776 6.799
Li 6.370 4.504 6.799
Li 6.370 4.504 11.034
Li 5.148 6.233 8.916
Li 5.148 1.047 8.916
Li 0.000 0.000 0.000
Ga 7.665 5.420 8.916
Ga 2.631 1.860 8.916
Ga 6.406 1.860 6.737
Ga 3.889 5.420 11.096
Ga 6.406 1.860 11.096
Ga 3.889 5.420 6.737
Rh 5.148 3.640 8.916
```

formation enthalpy at 0 K	-0.147	eV per atom
theoretical density	2.26	g/cm³

***

Entry from the Alexandria database: a relaxed structure of Li2Ga6Rh3 (PBE).

Geometry as extended XYZ:
```
11
Lattice="4.003 0.000 0.000 0.000 4.003 0.000 -2.002 -2.002 12.280" Properties=species:S:1:pos:R:3 pbc="T T T"
Li 0.000 0.000 8.308
Li 2.002 2.002 3.972
Ga 0.000 2.002 1.581
Ga 2.002 0.000 1.581
Ga 2.002 0.000 10.699
Ga 0.000 2.002 10.699
Ga 2.002 2.002 6.822
Ga 0.000 0.000 5.458
Rh 0.000 0.000 0.000
Rh 2.002 2.002 9.271
Rh 0.000 0.000 3.009
```

formation enthalpy at 0 K	-0.362	eV per atom
theoretical density	6.25	g/cm³

***

Entry from the Alexandria database: a relaxed structure of LiGa2Rh3 (PBE).

Geometry as extended XYZ:
```
12
Lattice="-1.445 -3.620 -1.673 4.000 1.217 -0.713 3.071 -5.138 8.463" Properties=species:S:1:pos:R:3 pbc="T T T"
Li 4.237 -3.828 4.623
Li 1.389 -3.712 1.455
Ga 1.535 -2.569 4.232
Ga 2.733 -1.312 0.477
Ga 2.893 -6.228 5.600
Ga 0.000 0.000 0.000
Rh 3.474 -2.551 2.519
Rh 0.611 -2.411 -0.687
Rh 2.313 -3.870 6.375
Rh 0.758 -1.268 2.089
Rh 5.014 -5.129 6.765
Rh 2.152 -4.989 3.559
```

energy relative to the lowest polymorph listed for this composition	0.000	eV per atom
formation enthalpy at 0 K	-0.643	eV per atom
theoretical density	9.36	g/cm³

***

Entry from the Alexandria database: a relaxed structure of Li6GaRh (PBE).

Geometry as extended XYZ:
```
8
Lattice="-3.769 -3.677 0.729 1.292 -4.969 0.993 -0.664 0.337 5.037" Properties=species:S:1:pos:R:3 pbc="T T T"
Li -1.560 -4.311 2.080
Li 0.416 -2.563 1.734
Li -3.557 -5.746 5.025
Li -1.581 -3.999 4.679
Li -2.042 -1.754 1.582
Li -2.391 -1.586 4.184
Ga -0.332 0.168 2.519
Rh 0.000 0.000 0.000
```

formation enthalpy at 0 K	-0.160	eV per atom
theoretical density	2.97	g/cm³

***

Entry from the Alexandria database: a relaxed structure of LiGaRh3 (PBE).

Geometry as extended XYZ:
```
5
Lattice="-3.273 -2.350 0.883 1.100 -2.646 -2.967 2.257 -2.119 2.726" Properties=species:S:1:pos:R:3 pbc="T T T"
Rh 0.550 -1.323 -1.484
Rh 1.128 -1.059 1.363
Rh -1.636 -1.175 0.441
Ga 0.042 -3.558 0.321
Li 0.000 0.000 0.000
```

energy relative to the lowest polymorph listed for this composition	0.000	eV per atom
formation enthalpy at 0 K	0.408	eV per atom
theoretical density	9.12	g/cm³

***

Entry from the Alexandria database: a relaxed structure of Li2Ga2Rh (PBE).

Geometry as extended XYZ:
```
5
Lattice="-7.615 -1.558 3.696 -5.871 -1.961 5.979 -4.754 1.906 3.966" Properties=species:S:1:pos:R:3 pbc="T T T"
Li -8.013 -0.201 6.082
Li -10.227 -1.412 7.559
Ga -13.094 -0.860 9.845
Ga -5.146 -0.753 3.796
Rh 0.000 0.000 0.000
```

energy relative to the lowest polymorph listed for this composition	0.139	eV per atom
formation enthalpy at 0 K	-0.390	eV per atom
theoretical density	5.44	g/cm³

***

Entry from the Alexandria database: a relaxed structure of Li2GaRh (PBE).

Geometry as extended XYZ:
```
4
Lattice="4.243 0.000 0.000 2.122 3.675 0.000 2.122 1.225 3.465" Properties=species:S:1:pos:R:3 pbc="T T T"
Rh 0.000 0.000 0.000
Ga 2.122 1.225 0.866
Li 4.243 2.450 1.732
Li 6.365 3.675 2.598
```

formation enthalpy at 0 K	-0.479	eV per atom
theoretical density	5.73	g/cm³

***

Entry from the Alexandria database: a relaxed structure of LiGa2Rh4 (PBE).

Geometry as extended XYZ:
```
7
Lattice="4.044 0.000 0.000 0.000 4.044 0.000 2.022 2.022 6.381" Properties=species:S:1:pos:R:3 pbc="T T T"
Rh 4.044 4.044 2.265
Rh 2.022 2.022 4.116
Rh 0.000 2.022 0.000
Rh 2.022 0.000 0.000
Ga 4.044 4.044 4.692
Ga 2.022 2.022 1.689
Li 0.000 0.000 0.000
```

energy relative to the lowest polymorph listed for this composition	0.425	eV per atom
formation enthalpy at 0 K	0.164	eV per atom
theoretical density	8.88	g/cm³

***

Entry from the Alexandria database: a relaxed structure of LiGa3Rh (PBE).

Geometry as extended XYZ:
```
10
Lattice="7.226 2.263 -0.227 -7.226 2.263 -0.227 0.000 0.735 4.426" Properties=species:S:1:pos:R:3 pbc="T T T"
Li 2.251 2.814 3.092
Li -2.251 2.446 0.880
Ga 6.420 2.446 0.880
Ga 3.588 2.446 0.880
Ga -0.791 2.814 3.092
Ga 0.791 2.446 0.880
Ga -6.420 2.814 3.092
Ga -3.588 2.814 3.092
Rh -5.074 2.446 0.880
Rh 5.074 2.814 3.092
```

energy relative to the lowest polymorph listed for this composition	0.000	eV per atom
formation enthalpy at 0 K	-0.421	eV per atom
theoretical density	7.20	g/cm³

***

Entry from the Alexandria database: a relaxed structure of Li23GaRh6 (PBE).

Geometry as extended XYZ:
```
30
Lattice="-2.374 5.267 6.331 5.576 2.068 6.172 3.203 7.940 0.397" Properties=species:S:1:pos:R:3 pbc="T T T"
Li -0.474 4.575 4.847
Li 6.880 10.700 8.054
Li 2.438 5.971 1.749
Li 0.765 1.825 1.541
Li 3.968 9.304 11.152
Li 5.641 13.450 11.359
Li 3.677 2.905 4.764
Li 2.729 12.370 8.137
Li 1.601 3.667 6.252
Li 1.602 3.970 0.199
Li -1.187 2.634 3.166
Li 4.390 5.004 3.285
Li 0.415 6.604 3.364
Li 2.788 1.034 3.086
Li 1.180 8.374 8.031
Li 5.226 6.901 4.870
Li 4.018 9.735 5.011
Li 2.388 5.694 4.809
Li 2.388 5.540 7.889
Li 4.018 9.581 8.091
Li 5.225 6.747 7.950
Li 1.180 8.528 4.951
Li 0.000 0.000 0.000
Ga 3.203 7.638 6.450
Rh 3.203 7.496 9.272
Rh 3.203 7.779 3.628
Rh 0.603 6.532 6.395
Rh 5.803 8.743 6.506
Rh 2.096 10.234 6.580
Rh 4.309 5.041 6.321
```

formation enthalpy at 0 K	-0.087	eV per atom
theoretical density	3.16	g/cm³

***

Entry from the Alexandria database: a relaxed structure of LiGa2Rh (PBE).

Geometry as extended XYZ:
```
4
Lattice="3.305 -1.454 2.331 -0.535 -0.879 4.173 0.042 -4.077 1.360" Properties=species:S:1:pos:R:3 pbc="T T T"
Rh 1.406 -3.205 3.932
Ga 0.703 -1.602 1.966
Ga 2.109 -4.807 5.898
Li 0.000 0.000 0.000
```

energy relative to the lowest polymorph listed for this composition	0.000	eV per atom
formation enthalpy at 0 K	-0.555	eV per atom
theoretical density	7.37	g/cm³